No. 1
Compound: AgPd
Source: Alexandria via LeMat-Bulk
Functional: PBEsol
Structure: relaxed

a b c (Å): 4.8607 4.8607 4.8607
angles (deg): 33.28 33.28 33.28
Fractional coordinates of all 2 atoms:
Ag  0.0000  0.0000  0.0000
Pd  0.5000  0.5000  0.5000

Calculated values
ΔH_f (0 K) = -0.058 eV/atom

No. 2
Compound: TaW
Source: Alexandria via LeMat-Bulk
Functional: PBEsol
Structure: relaxed

a b c (Å): 2.7957 2.7957 10.0301
angles (deg): 90.00 90.00 120.00
Fractional coordinates of all 4 atoms:
Ta  0.3333  0.6667  0.3707
Ta  0.6667  0.3333  0.6293
W  0.3333  0.6667  0.8795
W  0.6667  0.3333  0.1205

Calculated values
ΔH_f (0 K) = 0.438 eV/atom

No. 3
Compound: Tl2Se
Source: Alexandria via LeMat-Bulk
Functional: PBEsol
Structure: relaxed

a b c (Å): 6.7290 4.4990 11.6994
angles (deg): 90.00 90.00 90.00
Fractional coordinates of all 12 atoms:
Tl  0.0398  0.2500  0.1651
Tl  0.1505  0.7500  0.3782
Tl  0.3495  0.2500  0.8782
Tl  0.4602  0.7500  0.6651
Tl  0.5398  0.2500  0.3349
Tl  0.6505  0.7500  0.1218
Tl  0.8495  0.2500  0.6218
Tl  0.9602  0.7500  0.8349
Se  0.2380  0.7500  0.0425
Se  0.2620  0.2500  0.5425
Se  0.7380  0.7500  0.4575
Se  0.7620  0.2500  0.9575

Calculated values
distance to the lowest polymorph of the same formula = 0 meV per atom
E_form (uncorrected) = -89 kJ/mol of formula units

No. 4
Compound: AgAuCl
Source: Alexandria via LeMat-Bulk
Functional: PBEsol
Structure: relaxed

a b c (Å): 4.4383 4.4383 4.4383
angles (deg): 60.00 60.00 60.00
Fractional coordinates of all 3 atoms:
Ag  0.0000  0.0000  0.0000
Au  0.5000  0.5000  0.5000
Cl  0.2500  0.2500  0.2500

Calculated values
distance to the lowest polymorph of the same formula = 371 meV per atom
E_form (uncorrected) = 116 kJ/mol of formula units

No. 5
Compound: BaNa2Bi
Source: Alexandria via LeMat-Bulk
Functional: PBEsol
Structure: relaxed

a b c (Å): 12.6111 12.6111 12.6111
angles (deg): 156.96 156.96 32.81
Fractional coordinates of all 8 atoms:
Ba  0.0000  0.0000  0.0000
Ba  0.7500  0.2500  0.5000
Na  0.1849  0.6250  0.0599
Na  0.3750  0.4349  0.5599
Na  0.5651  0.1250  0.9401
Na  0.8750  0.8151  0.4401
Bi  0.2500  0.7500  0.5000
Bi  0.5000  0.5000  0.0000

Calculated values
ΔH_f (0 K) = -0.310 eV/atom

No. 6
Compound: KCaS2Cl
Source: Alexandria via LeMat-Bulk
Functional: PBEsol
Structure: relaxed

a b c (Å): 5.3294 5.3294 5.3460
angles (deg): 90.00 90.00 90.00
Fractional coordinates of all 5 atoms:
K  0.0000  0.0000  0.0000
Ca  0.5000  0.5000  0.5000
S  0.0000  0.5000  0.5000
S  0.5000  0.0000  0.5000
Cl  0.5000  0.5000  0.0000

Calculated values
E_form (uncorrected) = -481 kJ/mol of formula units

No. 7
Compound: BeAl2Hg
Source: Alexandria via LeMat-Bulk
Functional: PBEsol
Structure: relaxed

a b c (Å): 8.2314 8.2314 8.2314
angles (deg): 21.34 21.34 21.34
Fractional coordinates of all 4 atoms:
Be  0.0000  0.0000  0.0000
Al  0.2604  0.2604  0.2604
Al  0.7396  0.7396  0.7396
Hg  0.5000  0.5000  0.5000

Calculated values
distance to the lowest polymorph of the same formula = 3 meV per atom
ΔH_f (0 K) = 0.223 eV/atom

No. 8
Compound: AsWCl
Source: Alexandria via LeMat-Bulk
Functional: PBEsol
Structure: relaxed

a b c (Å): 6.4685 6.4685 6.4685
angles (deg): 152.98 152.98 38.58
Fractional coordinates of all 3 atoms:
As  0.0000  0.0000  0.0000
W  0.3761  0.3761  0.0000
Cl  0.7477  0.7477  0.0000

Calculated values
distance to the lowest polymorph of the same formula = 0 meV per atom
E_form (uncorrected) = 28 kJ/mol of formula units